No. 1
A relaxed Rb3GeIr crystal, computed with PBE-GGA.

The structure in extended XYZ format:
```
5
Lattice="-0.4827 -4.0798 4.8591 6.3439 -0.2335 0.4342 -0.1001 4.8774 4.0853" Properties=species:S:1:pos:R:3 pbc="T T T"
Ge 2.8805 0.2820 4.6893
Rb -0.2414 -2.0399 2.4295
Rb -0.0501 2.4387 2.0426
Rb 3.1720 -0.1167 0.2171
Ir 0.0000 0.0000 0.0000
```

Computed properties:
**M_tot**: 4.0 μB per cell
**Formation energy**: 21.35 kcal/mol of atoms

=====

No. 2
A relaxed InAg2Te crystal, computed with PBE-GGA.

The structure in extended XYZ format:
```
4
Lattice="5.9400 -0.0141 0.0386 -3.6188 5.4516 -0.1221 0.8395 0.5647 2.9734" Properties=species:S:1:pos:R:3 pbc="T T T"
Ag 0.0000 0.0000 0.0000
Ag -1.3896 3.0082 1.4256
In 1.1606 2.7188 -0.0418
Te 3.3898 0.2753 1.5060
```

Computed properties:
**Formation energy (no corrections)**: 11 kJ per mole of atoms
**Offset from the most stable computed form**: 111 meV per atom
**M_tot**: 0.0 μB per cell

=====

No. 3
A relaxed Ce5Pm2Pt5 crystal, computed with PBE-GGA.

The structure in extended XYZ format:
```
12
Lattice="3.9998 0.0000 0.0000 -1.9999 6.8357 0.1180 0.0000 -3.0687 11.9853" Properties=species:S:1:pos:R:3 pbc="T T T"
Ce 0.0000 1.8108 11.4514
Ce 0.0000 1.5821 7.8307
Ce 1.9999 1.9562 0.6519
Ce 1.9999 -1.5343 5.9926
Ce 1.9999 2.1849 4.2726
Pt 0.0000 0.0000 0.0000
Pt 0.0000 0.3153 5.1642
Pt 1.9999 3.4517 6.9391
Pt 1.9999 0.2527 9.8537
Pt 0.0000 3.5143 2.2496
Pm 0.0000 -1.8569 9.3678
Pm 1.9999 5.6240 2.7355
```

Computed properties:
**M_tot**: 4.5 μB per cell
**Formation energy**: -20.22 kcal/mol of atoms

=====

No. 4
A relaxed SrTcAg crystal, computed with PBE-GGA.

The structure in extended XYZ format:
```
12
Lattice="-6.4238 2.6272 -4.0075 -1.5882 -3.6025 0.1840 1.7686 -0.1671 11.9916" Properties=species:S:1:pos:R:3 pbc="T T T"
Sr -2.8454 -0.5166 7.5371
Sr -2.9356 1.3682 1.4492
Sr -5.9177 2.5151 -1.8343
Sr -5.8275 0.6304 4.2535
Tc -4.1866 -0.3752 -1.2696
Tc -2.5082 1.3425 4.6342
Tc -0.5489 0.7600 10.1390
Tc -2.2273 -0.9577 4.2352
Ag -1.8088 -1.3606 -0.0384
Ag -5.9897 0.5194 0.6814
Ag -4.3113 2.2371 6.5851
Ag -0.1304 0.3571 5.8654
```

Computed properties:
**Offset from the most stable computed form**: 0 meV per atom
**M_tot**: 0.0 μB per cell
**Formation energy**: 5.36 kcal/mol of atoms